# 1
First-principles (PBE-GGA) data for crystalline CsMgV at its relaxed geometry, as listed in the Alexandria database.

Results
- E above lowest polymorph (meV per atom) = 115
- crystal system = triclinic
- ΔE_f (eV per atom) = 0.6109
- symmetry = P1, No. 1

Unit cell a=4.4749 b=4.4827 c=13.4568 alpha=82.38 beta=81.79 gamma=71.34
Fractional coordinates of all 6 atoms:
Cs 0.0000 0.0000 0.0000
Cs 0.3793 0.3449 0.3665
Mg 0.0806 0.0648 0.7087
Mg 0.7576 0.7327 0.5830
V 0.4412 0.4286 0.7519
V 0.6736 0.6619 0.7894



# 2
First-principles (PBE-GGA) data for crystalline NdSmDyY at its relaxed geometry, as listed in the Alexandria database.

Results
- E above lowest polymorph (meV per atom) = 101
- crystal system = cubic
- ΔE_f (eV per atom) = 0.1182
- symmetry = F-43m, No. 216

Unit cell a=5.7426 b=5.7426 c=5.7426 alpha=60.00 beta=60.00 gamma=60.00
Fractional coordinates of all 4 atoms:
Nd 0.0000 0.0000 0.0000
Sm 0.5000 0.5000 0.5000
Dy 0.7500 0.7500 0.7500
Y 0.2500 0.2500 0.2500



# 3
First-principles (PBE-GGA) data for crystalline Li2TcAg at its relaxed geometry, as listed in the Alexandria database.

Results
- E above lowest polymorph (meV per atom) = 184
- crystal system = orthorhombic
- ΔE_f (eV per atom) = 0.2959
- symmetry = Cmmm, No. 65

Unit cell a=5.0575 b=5.0575 c=2.5384 alpha=90.00 beta=90.00 gamma=111.72
Fractional coordinates of all 4 atoms:
Li 0.0000 0.5000 0.0000
Li 0.5000 0.0000 0.0000
Tc 0.0000 0.0000 0.5000
Ag 0.5000 0.5000 0.5000



# 4
First-principles (PBE-GGA) data for crystalline YRe at its relaxed geometry, as listed in the Alexandria database.

Results
- crystal system = orthorhombic
- ΔE_f (eV per atom) = 0.1862
- symmetry = Pnma, No. 62

Unit cell a=4.1117 b=4.9865 c=8.6114 alpha=90.00 beta=90.00 gamma=90.00
Fractional coordinates of all 8 atoms:
Y 0.0008 0.2500 0.1049
Y 0.4992 0.7500 0.6049
Y 0.5008 0.2500 0.3951
Y 0.9992 0.7500 0.8951
Re 0.9999 0.2500 0.6749
Re 0.0001 0.7500 0.3251
Re 0.4999 0.2500 0.8251
Re 0.5001 0.7500 0.1749



# 5
First-principles (PBE-GGA) data for crystalline Nd4CoBr5 at its relaxed geometry, as listed in the Alexandria database.

Results
- crystal system = monoclinic
- raw formation energy (kJ/mol of formula units) = -1298
- symmetry = C2/m, No. 12

Unit cell a=9.7747 b=9.7747 c=8.7012 alpha=103.78 beta=103.78 gamma=23.87
Fractional coordinates of all 10 atoms:
Nd 0.9996 0.9996 0.2116
Nd 0.0004 0.0004 0.7884
Nd 0.3514 0.3514 0.9129
Nd 0.6486 0.6486 0.0871
Co 0.5000 0.5000 0.0000
Br 0.1665 0.1665 0.3462
Br 0.1732 0.1732 0.8429
Br 0.5000 0.5000 0.5000
Br 0.8268 0.8268 0.1571
Br 0.8335 0.8335 0.6538



# 6
First-principles (PBE-GGA) data for crystalline NdSc5Ga4 at its relaxed geometry, as listed in the Alexandria database.

Results
- crystal system = tetragonal
- ΔE_f (eV per atom) = -0.4668
- symmetry = P4/mmm, No. 123

Unit cell a=3.3446 b=3.3446 c=18.7692 alpha=90.00 beta=90.00 gamma=90.00
Fractional coordinates of all 10 atoms:
Nd 0.0000 0.0000 0.0000
Sc 0.5000 0.5000 0.1381
Sc 0.5000 0.5000 0.3188
Sc 0.5000 0.5000 0.5000
Sc 0.5000 0.5000 0.6812
Sc 0.5000 0.5000 0.8619
Ga 0.0000 0.0000 0.2262
Ga 0.0000 0.0000 0.4090
Ga 0.0000 0.0000 0.5910
Ga 0.0000 0.0000 0.7738



# 7
First-principles (PBE-GGA) data for crystalline LiTb2PrPd4 at its relaxed geometry, as listed in the Alexandria database.

Results
- crystal system = trigonal
- ΔE_f (eV per atom) = -0.7235
- symmetry = R-3m, No. 166

Unit cell a=8.6364 b=8.6364 c=8.6364 alpha=32.88 beta=32.88 gamma=32.88
Fractional coordinates of all 8 atoms:
Li 0.0000 0.0000 0.0000
Tb 0.2614 0.2614 0.2614
Tb 0.7386 0.7386 0.7386
Pr 0.5000 0.5000 0.5000
Pd 0.1129 0.1129 0.1129
Pd 0.3778 0.3778 0.3778
Pd 0.6222 0.6222 0.6222
Pd 0.8871 0.8871 0.8871



# 8
First-principles (PBE-GGA) data for crystalline ZnIr5 at its relaxed geometry, as listed in the Alexandria database.

Results
- crystal system = orthorhombic
- ΔE_f (eV per atom) = 0.0212
- symmetry = Cmmm, No. 65

Unit cell a=6.1600 b=6.1600 c=3.8414 alpha=90.00 beta=90.00 gamma=143.26
Fractional coordinates of all 6 atoms:
Zn 0.0000 0.0000 0.0000
Ir 0.1667 0.8333 0.5000
Ir 0.3281 0.6719 0.0000
Ir 0.5000 0.5000 0.5000
Ir 0.6719 0.3281 0.0000
Ir 0.8333 0.1667 0.5000



# 9
First-principles (PBE-GGA) data for crystalline Pr2Sm2Tm2Mg at its relaxed geometry, as listed in the Alexandria database.

Results
- crystal system = monoclinic
- ΔE_f (eV per atom) = 0.0819
- symmetry = C2/m, No. 12

Unit cell a=6.4146 b=6.4146 c=11.6935 alpha=118.58 beta=118.58 gamma=33.52
Fractional coordinates of all 7 atoms:
Pr 0.0252 0.0252 0.2423
Pr 0.9748 0.9748 0.7577
Sm 0.1807 0.1807 0.5899
Sm 0.8193 0.8193 0.4101
Tm 0.2423 0.2423 0.1204
Tm 0.7577 0.7577 0.8796
Mg 0.5000 0.5000 0.0000



# 10
First-principles (PBE-GGA) data for crystalline La2Pm2Rh3 at its relaxed geometry, as listed in the Alexandria database.

Results
- E above lowest polymorph (meV per atom) = 71
- crystal system = triclinic
- ΔE_f (eV per atom) = -0.6194
- symmetry = P-1, No. 2

Unit cell a=4.1735 b=7.1134 c=7.1187 alpha=100.58 beta=90.04 gamma=106.99
Fractional coordinates of all 7 atoms:
La 0.1225 0.2459 0.3805
La 0.8775 0.7541 0.6195
Pm 0.3606 0.7235 0.1385
Pm 0.6394 0.2765 0.8615
Rh 0.2604 0.5195 0.7532
Rh 0.5000 0.0000 0.5000
Rh 0.7396 0.4805 0.2468



# 11
First-principles (PBE-GGA) data for crystalline Ba2SrAgPd at its relaxed geometry, as listed in the Alexandria database.

Results
- crystal system = tetragonal
- ΔE_f (eV per atom) = -0.1855
- symmetry = P4/mmm, No. 123

Unit cell a=6.1589 b=6.1589 c=5.8873 alpha=90.00 beta=90.00 gamma=90.00
Fractional coordinates of all 5 atoms:
Ba 0.0000 0.5000 0.0000
Ba 0.5000 0.0000 0.0000
Sr 0.0000 0.0000 0.5000
Ag 0.5000 0.5000 0.5000
Pd 0.0000 0.0000 0.0000



# 12
First-principles (PBE-GGA) data for crystalline PmDy4Sc3 at its relaxed geometry, as listed in the Alexandria database.

Results
- E above lowest polymorph (meV per atom) = 148
- crystal system = monoclinic
- ΔE_f (eV per atom) = 0.1808
- symmetry = C2/m, No. 12

Unit cell a=8.5834 b=8.5834 c=3.3286 alpha=101.12 beta=101.12 gamma=81.55
Fractional coordinates of all 8 atoms:
Pm 0.0000 0.0000 0.0000
Dy 0.1213 0.6130 0.8663
Dy 0.3870 0.8787 0.1337
Dy 0.6130 0.1213 0.8663
Dy 0.8787 0.3870 0.1337
Sc 0.2413 0.2413 0.7404
Sc 0.5000 0.5000 0.5000
Sc 0.7587 0.7587 0.2596



Calculated volume / Å³ per cell: 252; 134; 60; 177; 326; 210; 169; 87; 230; 198; 223; 235
Magnetic moment / Bohr magnetons per cell: 0.00; 0.00; 0.27; 0.00; 0.00; 0.00; 0.00; 0.00; 0.00; 0.00; 0.00; 0.00